[1]
# HfInTc2

A relaxed HfInTc2 crystal (PBE-GGA, the Alexandria database).

N(E_F) = 4.83 states/eV/f.u.
energy of formation from the pure elements = 0.562 eV/atom
VASP energy = -7.79 eV/atom

```
HfInTc2
1.0
-2.050 2.050 9.606
2.050 -2.050 9.606
2.050 2.050 -9.606
Hf In Tc
2 2 4
Cartesian
0.000 0.000 0.000 Hf
0.000 2.050 4.803 Hf
2.050 0.000 4.803 In
0.000 0.000 9.606 In
3.076 0.693 -2.402 Tc
0.693 1.025 2.402 Tc
-1.025 1.357 7.205 Tc
1.357 1.025 12.008 Tc
```


[2]
# MgPt2Se

A relaxed MgPt2Se crystal (PBE-GGA, the Alexandria database).

N(E_F) = 2.62 states/eV/f.u.
raw formation energy = -0.32 eV/atom
offset from the most stable computed form = 27.6 meV/atom
VASP energy = -4.61 eV/atom

```
MgPt2Se
1.0
3.549 0.000 0.000
0.000 3.549 0.000
0.000 0.000 5.461
Mg Pt Se
1 2 1
Cartesian
0.000 0.000 0.000 Mg
0.000 0.000 2.725 Pt
1.775 1.775 1.100 Pt
1.775 1.775 3.666 Se
```


[3]
# KCaBr2Cl

A relaxed KCaBr2Cl crystal (PBE-GGA, the Alexandria database).

N(E_F) = 0.00 states/eV/f.u.
raw formation energy = -1.99 eV/atom
VASP energy = -3.65 eV/atom

```
KCaBr2Cl
1.0
5.738 0.000 0.000
0.000 5.738 0.000
0.000 0.000 5.356
K Ca Br Cl
1 1 2 1
Cartesian
0.000 0.000 0.000 K
2.869 2.869 2.678 Ca
0.000 2.869 2.678 Br
2.869 0.000 2.678 Br
2.869 2.869 0.000 Cl
```